# Ho3Si4Ni | OQMD | GGA-PBE | relaxed
# Magnetic moment   0.00 μB per cell
# Total DFT energy (no corrections)   -5.758 eV per atom
data_Ho3Si4Ni
_symmetry_space_group_name_H-M 'P 1 m 1'
_symmetry_Int_Tables_number 6
_cell_length_a 5.5846
_cell_length_b 3.7745
_cell_length_c 7.4817
_cell_angle_alpha 90.00
_cell_angle_beta 100.15
_cell_angle_gamma 90.00
loop_
_symmetry_equiv_pos_as_xyz
'x,y,z'
'x,-y,z'
loop_
_atom_site_label
_atom_site_type_symbol
_atom_site_fract_x
_atom_site_fract_y
_atom_site_fract_z
Ho1 Ho 0.0000 0.0000 0.0000
Ho2 Ho 0.1393 0.0000 0.4745
Ho3 Ho 0.6699 0.5000 0.6098
Si1 Si 0.1917 0.5000 0.7675
Si2 Si 0.4781 0.0000 0.8378
Si3 Si 0.5580 0.0000 0.2593
Si4 Si 0.8428 0.5000 0.2551
Ni1 Ni 0.5078 0.5000 0.0294